LaTaSb2 at its PBEsol-relaxed geometry, computed with meta-GGA SCAN.

E_form (uncorrected) = 0.09 eV/atom
uncorrected energy = -45.9646 eV per atom

Structure (CIF):
```
data_LaTaSb2
_chemical_formula_sum 'La2 Ta2 Sb4'
_cell_length_a 4.1166
_cell_length_b 4.6647
_cell_length_c 10.7945
_cell_angle_alpha 90.00
_cell_angle_beta 90.00
_cell_angle_gamma 90.00
_symmetry_space_group_name_H-M 'C m m 2'
_symmetry_Int_Tables_number 35
_symmetry_space_group_name_Hall 'C 2 -2'
loop_
_atom_site_label
_atom_site_fract_x
_atom_site_fract_y
_atom_site_fract_z
_atom_site_occupancy
La1 0.0000 0.0000 0.0000 1
Ta1 0.0000 0.5000 0.2361 1
Sb1 0.0000 0.0000 0.4297 1
Sb2 0.0000 0.5000 0.7511 1
```